a) VASP calculation (GGA-PBE) on a relaxed structure of Y2HoGa.

Computed properties:
crystal system: orthorhombic
total magnetization: 0.07 μB/cell

Cell lengths 5.214, 6.994, 11.974 Å; angles 90.00, 90.00, 90.00 degrees
Sites, in units of the cell vectors:
Y 0.000 0.000 0.000
Y 0.000 0.250 0.263
Y 0.000 0.250 0.763
Y 0.000 0.500 0.500
Y 0.000 0.750 0.263
Y 0.000 0.750 0.763
Y 0.500 0.000 0.675
Y 0.500 0.500 0.175
Ho 0.000 0.000 0.490
Ho 0.000 0.500 0.990
Ho 0.500 0.000 0.185
Ho 0.500 0.500 0.685
Ga 0.500 0.240 0.911
Ga 0.500 0.260 0.411
Ga 0.500 0.740 0.411
Ga 0.500 0.760 0.911

b) VASP calculation (GGA-PBE) on a relaxed structure of Y2HoGa.

Computed properties:
crystal system: orthorhombic
total magnetization: 0.05 μB/cell

Cell lengths 6.822, 11.784, 5.212 Å; angles 90.00, 90.00, 90.00 degrees
Sites, in units of the cell vectors:
Y 0.239 0.089 0.250
Y 0.239 0.911 0.750
Y 0.261 0.411 0.750
Y 0.261 0.589 0.250
Y 0.739 0.411 0.750
Y 0.739 0.589 0.250
Y 0.761 0.089 0.250
Y 0.761 0.911 0.750
Ho 0.000 0.323 0.250
Ho 0.000 0.677 0.750
Ho 0.500 0.177 0.750
Ho 0.500 0.823 0.250
Ga 0.000 0.167 0.750
Ga 0.000 0.833 0.250
Ga 0.500 0.333 0.250
Ga 0.500 0.667 0.750

b) is the most stable structure; the next one sits 108 meV/atom above it.